This record from Alexandria describes an optimized crystal structure of TiRe2C. The functional is PBE.

**Symmetry**: No. 122
**Electronic total energy**: -10.47 eV/atom
**M_tot**: 0.00 μB per formula unit

a b c (Å): 5.416 5.416 5.416
angles (deg): 99.80 99.80 131.27
Element x y z (fractional)
Ti  0.000  0.000  0.000
Ti  0.750  0.250  0.500
Re  0.235  0.625  0.110
Re  0.375  0.485  0.610
Re  0.515  0.125  0.890
Re  0.875  0.765  0.390
C  0.250  0.750  0.500
C  0.500  0.500  0.000